{
  "formula": "NaCa3Tc",
  "functional": "SCAN",
  "state": "PBEsol geometry",
  "cell": [[5.5818, 0.0000, 0.0000], [0.0000, 5.5818, 0.0000], [0.0000, 0.0000, 5.5818]],
  "species": ["Na", "Ca", "Ca", "Ca", "Tc"],
  "frac_coords": [[0.0000, 0.0000, 0.0000], [0.0000, 0.5000, 0.0000], [0.0000, 0.0000, 0.5000], [0.5000, 0.0000, 0.0000], [0.5000, 0.5000, 0.5000]],
  "magnetic_moment_mub_per_fu": 2.8,
  "mass_density_g_cm3": 2.3,
  "ef_ev_per_atom": 1.2992
}

***

{
  "formula": "Er2AlFe3",
  "functional": "SCAN",
  "state": "PBEsol geometry",
  "cell": [[-3.7270, 2.1732, 2.6666], [-3.4168, -2.9017, 2.3727], [0.0305, -0.2914, 5.0634]],
  "species": ["Fe", "Fe", "Fe", "Al", "Er", "Er"],
  "frac_coords": [[0.5000, 0.0000, 0.0000], [0.0000, 0.5000, 0.0000], [0.0000, 0.0000, 0.5000], [0.0000, 0.0000, 0.0000], [0.6222, 0.6222, 0.6222], [0.3778, 0.3778, 0.3778]],
  "magnetic_moment_mub_per_fu": 4.9,
  "mass_density_g_cm3": 9.5,
  "ef_ev_per_atom": -0.1961
}

***

{
  "formula": "Bi2Te7Cl8",
  "functional": "SCAN",
  "state": "PBEsol geometry",
  "cell": [[5.4049, -0.0120, 0.0155], [-1.5017, 13.1229, 0.0896], [-1.3159, -3.6839, 14.2674]],
  "species": ["Bi", "Bi", "Bi", "Bi", "Te", "Te", "Te", "Te", "Te", "Te", "Te", "Te", "Te", "Te", "Te", "Te", "Te", "Te", "Cl", "Cl", "Cl", "Cl", "Cl", "Cl", "Cl", "Cl", "Cl", "Cl", "Cl", "Cl", "Cl", "Cl", "Cl", "Cl"],
  "frac_coords": [[0.8104, 0.2583, 0.2771], [0.1896, 0.7417, 0.7229], [0.9295, 0.5936, 0.3908], [0.0705, 0.4064, 0.6092], [0.8183, 0.9844, 0.5680], [0.1817, 0.0156, 0.4320], [0.4753, 0.8103, 0.1685], [0.5247, 0.1897, 0.8315], [0.1746, 0.9625, 0.1526], [0.8254, 0.0375, 0.8474], [0.7798, 0.8395, 0.0290], [0.2202, 0.1605, 0.9710], [0.0584, 0.6525, 0.0452], [0.9416, 0.3475, 0.9548], [0.3605, 0.4918, 0.0736], [0.6395, 0.5082, 0.9264], [0.5539, 0.1500, 0.5645], [0.4461, 0.8500, 0.4355], [0.8016, 0.1436, 0.1078], [0.1984, 0.8564, 0.8922], [0.3518, 0.2739, 0.2279], [0.6482, 0.7261, 0.7721], [0.9085, 0.4504, 0.2220], [0.0915, 0.5496, 0.7780], [0.8506, 0.7419, 0.5421], [0.1494, 0.2581, 0.4579], [0.7209, 0.4210, 0.4432], [0.2791, 0.5790, 0.5568], [0.4662, 0.6032, 0.3330], [0.5338, 0.3968, 0.6670], [0.0037, 0.7570, 0.3080], [0.9963, 0.2430, 0.6920], [0.3574, 0.9226, 0.6890], [0.6426, 0.0774, 0.3110]],
  "magnetic_moment_mub_per_fu": 0.0,
  "mass_density_g_cm3": 5.2,
  "raw_formation_energy_ev_per_atom": -0.560
}

***

{
  "formula": "LuS2",
  "functional": "SCAN",
  "state": "PBEsol geometry",
  "cell": [[3.7397, 0.0000, 0.0000], [0.0000, 3.7397, 0.0000], [0.0000, 0.0000, 7.6798]],
  "species": ["Lu", "Lu", "S", "S", "S", "S"],
  "frac_coords": [[0.0000, 0.5000, 0.7274], [0.5000, 0.0000, 0.2726], [0.0000, 0.5000, 0.3691], [0.5000, 0.0000, 0.6309], [0.0000, 0.0000, 0.0000], [0.5000, 0.5000, 0.0000]],
  "magnetic_moment_mub_per_fu": 0.0,
  "mass_density_g_cm3": 7.4,
  "raw_formation_energy_ev_per_atom": -1.825
}

***

{
  "formula": "CoPb4Br",
  "functional": "SCAN",
  "state": "PBEsol geometry",
  "cell": [[6.2583, 0.0000, 0.0000], [3.1292, 5.4199, 0.0000], [3.1292, 1.8066, 5.1099]],
  "species": ["Br", "Co", "Pb", "Pb", "Pb", "Pb"],
  "frac_coords": [[0.7500, 0.7500, 0.7500], [0.0000, 0.0000, 0.0000], [0.3742, 0.3742, 0.3742], [0.3742, 0.3742, 0.8773], [0.8773, 0.3742, 0.3742], [0.3742, 0.8773, 0.3742]],
  "magnetic_moment_mub_per_fu": 2.5,
  "mass_density_g_cm3": 9.3,
  "raw_formation_energy_ev_per_atom": 0.578
}

***

{
  "formula": "SiRuPt3",
  "functional": "SCAN",
  "state": "PBEsol geometry",
  "cell": [[4.4267, 0.0000, 0.0000], [0.0000, 4.4267, 0.0000], [0.0000, 0.0000, 4.4267]],
  "species": ["Ru", "Si", "Pt", "Pt", "Pt"],
  "frac_coords": [[0.5000, 0.5000, 0.5000], [0.0000, 0.0000, 0.0000], [0.0000, 0.5000, 0.0000], [0.0000, 0.0000, 0.5000], [0.5000, 0.0000, 0.0000]],
  "magnetic_moment_mub_per_fu": 2.9,
  "mass_density_g_cm3": 13.7,
  "raw_formation_energy_ev_per_atom": 0.588
}

***

{
  "formula": "Li3ScTi",
  "functional": "SCAN",
  "state": "PBEsol geometry",
  "cell": [[-2.1122, -3.3793, 2.4532], [4.0474, -0.9800, 2.1348], [-1.0279, 3.0853, 3.3651]],
  "species": ["Sc", "Li", "Li", "Li", "Ti"],
  "frac_coords": [[0.0000, 0.0000, 0.0000], [0.0000, 0.5000, 0.0000], [0.0000, 0.0000, 0.5000], [0.5000, 0.0000, 0.0000], [0.5000, 0.5000, 0.5000]],
  "magnetic_moment_mub_per_fu": 2.0,
  "mass_density_g_cm3": 1.8,
  "ef_ev_per_atom": 1.1656
}

***

{
  "formula": "ZnAsIr2",
  "functional": "SCAN",
  "state": "PBEsol geometry",
  "cell": [[2.8615, 0.0000, 0.0000], [0.0000, 3.8914, 0.0000], [0.0000, 0.0000, 5.1635]],
  "species": ["As", "Ir", "Ir", "Zn"],
  "frac_coords": [[0.5000, 0.5000, 0.7856], [0.0000, 0.0000, 0.9658], [0.5000, 0.5000, 0.2852], [0.0000, 0.0000, 0.4633]],
  "magnetic_moment_mub_per_fu": 0.0,
  "mass_density_g_cm3": 15.2,
  "ef_ev_per_atom": -0.0176
}

***

{
  "formula": "Li4Ti2Nb3Cu3O16",
  "functional": "SCAN",
  "state": "PBEsol geometry",
  "cell": [[5.9379, 0.0000, 0.0000], [-2.9690, 5.3040, 0.0704], [0.0000, -0.5295, 9.5480]],
  "species": ["Li", "Li", "Li", "Li", "Ti", "Ti", "Nb", "Nb", "Nb", "Cu", "Cu", "Cu", "O", "O", "O", "O", "O", "O", "O", "O", "O", "O", "O", "O", "O", "O", "O", "O"],
  "frac_coords": [[0.3368, 0.6737, 0.9078], [0.0095, 0.0191, 0.0026], [0.8940, 0.7879, 0.4568], [0.6466, 0.2931, 0.3809], [0.3575, 0.7150, 0.4861], [0.6833, 0.3667, 0.0062], [0.1766, 0.3532, 0.2363], [0.3458, 0.1900, 0.7094], [0.8442, 0.1900, 0.7094], [0.1738, 0.8353, 0.2027], [0.6615, 0.8353, 0.2027], [0.8312, 0.6624, 0.7315], [0.1764, 0.8445, 0.5952], [0.4697, 0.9393, 0.3448], [0.3286, 0.6572, 0.1103], [0.0006, 0.0013, 0.2981], [0.0127, 0.0253, 0.8110], [0.6682, 0.8445, 0.5952], [0.0256, 0.4949, 0.3667], [0.4693, 0.4949, 0.3667], [0.8440, 0.6880, 0.0843], [0.1766, 0.3533, 0.6080], [0.5086, 0.4724, 0.8449], [0.9638, 0.4724, 0.8449], [0.6444, 0.2887, 0.5842], [0.3642, 0.2238, 0.0942], [0.5257, 0.0513, 0.8328], [0.8596, 0.2238, 0.0942]],
  "magnetic_moment_mub_per_fu": 2.0,
  "mass_density_g_cm3": 4.7,
  "raw_formation_energy_ev_per_atom": -2.317
}

***

{
  "formula": "InIrW2",
  "functional": "SCAN",
  "state": "PBEsol geometry",
  "cell": [[-1.0624, 0.0221, 2.6392], [0.9795, -1.8328, 1.9432], [6.4706, 5.5875, 4.0914]],
  "species": ["In", "Ir", "W", "W"],
  "frac_coords": [[0.5024, 0.5024, 0.4928], [0.2544, 0.2544, 0.2368], [0.9959, 0.9959, 0.0124], [0.7473, 0.7473, 0.7580]],
  "magnetic_moment_mub_per_fu": 0.0,
  "mass_density_g_cm3": 17.1,
  "ef_ev_per_atom": 0.3376
}

***

{
  "formula": "RbNaGa2",
  "functional": "SCAN",
  "state": "PBEsol geometry",
  "cell": [[-0.2692, 3.3111, -4.3227], [-3.4266, -1.1270, -4.0877], [-4.4151, 3.0993, -0.7888]],
  "species": ["Na", "Ga", "Ga", "Rb"],
  "frac_coords": [[0.0000, 0.0000, 0.0000], [0.2500, 0.2500, 0.2500], [0.7500, 0.7500, 0.7500], [0.5000, 0.5000, 0.5000]],
  "magnetic_moment_mub_per_fu": 0.0,
  "mass_density_g_cm3": 3.6,
  "ef_ev_per_atom": 0.2919
}

***

{
  "formula": "Mn2BTeRh",
  "functional": "SCAN",
  "state": "PBEsol geometry",
  "cell": [[4.0725, 0.0000, 0.0000], [0.0000, 4.0725, 0.0000], [0.0000, 0.0000, 4.1827]],
  "species": ["B", "Te", "Rh", "Mn", "Mn"],
  "frac_coords": [[0.0000, 0.0000, 0.0000], [0.5000, 0.5000, 0.5000], [0.0000, 0.0000, 0.5000], [0.0000, 0.5000, 0.0000], [0.5000, 0.0000, 0.0000]],
  "magnetic_moment_mub_per_fu": 7.3,
  "mass_density_g_cm3": 8.4,
  "raw_formation_energy_ev_per_atom": -0.168
}